Material: LiPmCdSn
Method: DFT, PBE-GGA
State: relaxed

POSCAR file:
```
LiPmCdSn
1.0
-4.775 -1.836 -0.872
-0.899 -3.047 -4.103
-1.005 -5.045 0.685
Cd Li Sn Pm
1 1 1 1
direct
0.750 0.750 0.750
0.000 0.000 0.000
0.250 0.250 0.250
0.500 0.500 0.500
```

Computed properties:
Formation energy in meV per atom: -457
Uncorrected energy in eV/atom: -3.35
Density in kg/m³: 6438
Relative energy among the computed polymorphs in eV per atom: 0.0000